Entry 1:
Material: CsAsWSe2
Method: DFT, meta-GGA SCAN
State: single point on PBEsol structure

Calculated values
ΔE_f (raw), eV per atom: 2.496
Total magnetization, μB/atom: 0.558
Density of states at the Fermi level, states/eV per cell: 3.97

Unit cell a=5.4737 b=5.4737 c=5.6071 alpha=90.00 beta=90.00 gamma=90.00
With the nearest neighbours (Å) after each atom.
Space group P4/mmm (No. 123)
One atom of each set of equivalent atoms:
Cs1 0.0000 0.0000 0.0000 x1  4 Se 2.74, 2 As 2.80
As1 0.0000 0.0000 0.5000 x1  2 Cs 2.80
W1 0.5000 0.5000 0.5000 x1  4 As 3.87, 8 Se 3.92
Se1 0.0000 0.5000 0.0000 x2  2 Cs 2.74


Entry 2:
Material: BiRu3Cl
Method: DFT, meta-GGA SCAN
State: single point on PBEsol structure

Calculated values
ΔE_f (raw), eV per atom: 1.170
Total magnetization, μB/atom: 0.534
Density of states at the Fermi level, states/eV per cell: 5.20

Unit cell a=4.4009 b=4.4009 c=4.4009 alpha=90.00 beta=90.00 gamma=90.00
With the nearest neighbours (Å) after each atom.
Space group Pm-3m (No. 221)
One atom of each set of equivalent atoms:
Bi1 0.0000 0.0000 0.0000 x1  12 Ru 3.11
Ru1 0.0000 0.5000 0.5000 x3  2 Cl 2.20
Cl1 0.5000 0.5000 0.5000 x1  6 Ru 2.20


Entry 3:
Material: Re3P
Method: DFT, meta-GGA SCAN
State: single point on PBEsol structure

Calculated values
Total magnetization, μB/atom: 0.000
Density of states at the Fermi level, states/eV per cell: 4.16
Formation energy from the elements, eV/atom: 0.059

Unit cell a=2.8698 b=9.3807 c=4.2835 alpha=90.00 beta=90.00 gamma=90.00
With the nearest neighbours (Å) after each atom.
Space group Imm2 (No. 44)
One atom of each set of equivalent atoms:
Re1 0.0000 0.0000 0.0000 x2  2 P 2.39, 4 Re 2.66
Re2 0.0000 0.2884 0.2593 x4  1 P 2.40, 6 Re 2.66-2.68
P1 0.0000 0.5000 0.9454 x2  4 Re 2.39-2.40


Entry 4:
Material: Al2WAu
Method: DFT, meta-GGA SCAN
State: single point on PBEsol structure

Calculated values
Total magnetization, μB/atom: 0.000
Density of states at the Fermi level, states/eV per cell: 3.70
Formation energy from the elements, eV/atom: -0.197

Unit cell a=9.9497 b=2.8432 c=4.7181 alpha=90.00 beta=112.05 gamma=90.00
With the nearest neighbours (Å) after each atom.
Space group Cm (No. 8)
One atom of each set of equivalent atoms:
Al1 0.0000 0.0000 0.0000 x2  3 W 2.70-2.73, 4 Au 2.73-2.78, 5 Al 2.84-2.93
Al2 0.2420 0.0000 0.5924 x2  3 Au 2.69-2.75, 4 W 2.71-2.80, 5 Al 2.84-2.93
W1 0.2459 0.5000 0.0843 x2  7 Al 2.70-2.80, 2 W 2.84, 3 Au 2.88-2.96
Au1 0.4926 0.0000 0.4999 x2  7 Al 2.69-2.78, 2 Au 2.84, 3 W 2.88-2.96


- Which of these has the highest total magnetization?
  CsAsWSe2